Density functional theory data (PBE) for a relaxed LiRe2Te crystal.

Values from the calculation:
formation energy (no corrections) = 514 meV per atom
total moment = 0.0 μB per formula unit

Cell lengths 4.1733, 4.1733, 7.2866 Å; angles 90.00, 90.00, 90.00 degrees
With the nearest neighbours (Å) after each atom.
Fractional coordinates of all 8 atoms:
Li  0.0000  0.0000  0.0000  8 Re 2.77-2.95, 4 Te 2.77
Li  0.5000  0.5000  0.5000  8 Re 2.77-2.95, 4 Te 2.77
Re  0.0000  0.0000  0.5000  4 Re 2.77, 4 Te 2.77, 4 Li 2.95
Re  0.0000  0.5000  0.7500  4 Re 2.77, 4 Li 2.77, 4 Te 2.95
Re  0.5000  0.0000  0.2500  4 Li 2.77, 4 Re 2.77, 4 Te 2.95
Re  0.5000  0.5000  0.0000  4 Re 2.77, 4 Te 2.77, 4 Li 2.95
Te  0.0000  0.5000  0.2500  4 Li 2.77, 8 Re 2.77-2.95
Te  0.5000  0.0000  0.7500  4 Li 2.77, 8 Re 2.77-2.95